No. 1
ZrAlIn4 | GGA-PBE | relaxed

Properties
**Formation energy**: 230 meV/atom

Cell lengths 8.3019, 8.3019, 8.3019 Å; angles 90.00, 90.00, 90.00 degrees
Space group F-43m (No. 216)
Unique sites:
1 Zr 0.0000 0.0000 0.0000
2 Al 0.2500 0.2500 0.7500
3 In 0.1247 0.1247 0.3753

No. 2
NaIn3Hg6 | GGA-PBE | relaxed

Properties
**Formation energy**: -64 meV/atom

Cell lengths 9.6497, 4.9311, 11.1910 Å; angles 90.00, 98.74, 90.00 degrees
Space group P2_1/m (No. 11)
Unique sites:
1 Na 0.0583 0.2500 0.3870
2 In 0.2534 0.2500 0.0261
3 In 0.3422 0.7500 0.8050
4 In 0.4443 0.2500 0.5950
5 Hg 0.0570 0.7500 0.9114
6 Hg 0.1483 0.2500 0.7028
7 Hg 0.1583 0.7500 0.2188
8 Hg 0.2402 0.7500 0.5106
9 Hg 0.3674 0.2500 0.3092
10 Hg 0.4633 0.7500 0.1033

No. 3
BeAsPbBr2 | GGA-PBE | relaxed

Properties
**Calculated total energy**: -2.375 eV per atom

Cell lengths 5.8305, 5.8305, 5.7919 Å; angles 90.00, 90.00, 90.00 degrees
Space group P4/mmm (No. 123)
Unique sites:
1 Be 0.0000 0.0000 0.0000
2 As 0.5000 0.5000 0.0000
3 Pb 0.5000 0.5000 0.5000
4 Br 0.0000 0.5000 0.5000

No. 4
AcMnFeP2 | GGA-PBE | relaxed

Properties
**Formation energy**: -887 meV/atom

Cell lengths 3.9032, 3.9032, 11.1610 Å; angles 90.00, 90.00, 90.00 degrees
Space group I-4m2 (No. 119)
Unique sites:
1 Ac 0.0000 0.0000 0.0000
2 Mn 0.0000 0.5000 0.7500
3 Fe 0.0000 0.5000 0.2500
4 P 0.0000 0.0000 0.3447